w) A plane-wave DFT calculation with PBE-GGA was carried out for a geometry-optimized MgSc2Cd structure.

Output
density = 4.01 g/cm3
N(E_F) = 4.37 states/eV/f.u.
SG = C2/m, No. 12

extended XYZ file:
```
4
Lattice="5.184 -1.652 0.000 5.184 1.652 0.000 -1.078 0.000 5.471" Properties=species:S:1:pos:R:3 pbc="T T T"
Mg 0.000 0.000 0.000
Sc 1.746 0.000 4.089
Sc 7.544 0.000 1.383
Cd 4.645 0.000 2.736
```

x) A plane-wave DFT calculation with PBE-GGA was carried out for a geometry-optimized MgSc2Cd structure.

Output
density = 3.81 g/cm3
N(E_F) = 5.70 states/eV/f.u.
SG = I-42d, No. 122

extended XYZ file:
```
8
Lattice="-4.040 4.040 3.024 4.040 -4.040 3.024 4.040 4.040 -3.024" Properties=species:S:1:pos:R:3 pbc="T T T"
Mg 0.000 0.000 0.000
Mg 0.000 4.040 1.512
Sc 2.020 -1.895 2.268
Sc 2.145 2.020 0.756
Sc 2.020 5.935 -0.756
Sc 1.895 2.020 3.779
Cd 4.040 0.000 1.512
Cd 0.000 0.000 3.024
```

y) A plane-wave DFT calculation with PBE-GGA was carried out for a geometry-optimized MgSc2Cd structure.

Output
density = 4.11 g/cm3
N(E_F) = 4.85 states/eV/f.u.
SG = Cm, No. 8

extended XYZ file:
```
4
Lattice="5.765 -1.735 0.000 5.765 1.735 0.000 -2.251 0.000 4.579" Properties=species:S:1:pos:R:3 pbc="T T T"
Mg 0.000 0.000 0.000
Sc 1.076 0.000 3.367
Sc 4.366 0.000 2.154
Cd 7.847 0.000 1.017
```

Tell me which of them is the most stable. Sure, it is y).

w) A plane-wave DFT calculation with PBE-GGA was carried out for a geometry-optimized Mg2Sc3Cd7 structure.

Output
density = 5.87 g/cm3
N(E_F) = 7.95 states/eV/f.u.
SG = P2/m, No. 10

extended XYZ file:
```
12
Lattice="4.959 0.000 0.000 0.000 3.312 0.000 -1.247 0.000 16.702" Properties=species:S:1:pos:R:3 pbc="T T T"
Mg 0.607 0.000 4.901
Mg 3.105 0.000 11.801
Sc 0.000 0.000 0.000
Sc 0.629 1.656 10.401
Sc 3.083 1.656 6.301
Cd 0.565 1.656 2.424
Cd 0.617 0.000 7.645
Cd 0.636 0.000 13.272
Cd 2.480 1.656 0.000
Cd 3.077 0.000 3.429
Cd 3.096 0.000 9.057
Cd 3.148 1.656 14.277
```

x) A plane-wave DFT calculation with PBE-GGA was carried out for a geometry-optimized Mg2Sc3Cd7 structure.

Output
density = 5.77 g/cm3
N(E_F) = 6.24 states/eV/f.u.
SG = P2/m, No. 10

extended XYZ file:
```
12
Lattice="4.924 0.000 0.000 0.000 4.938 0.000 -2.455 0.000 11.492" Properties=species:S:1:pos:R:3 pbc="T T T"
Mg -0.004 0.000 3.451
Mg 2.473 0.000 8.041
Sc 0.000 0.000 0.000
Sc 0.005 2.469 7.962
Sc 2.465 2.469 3.530
Cd 0.000 2.469 1.796
Cd 0.003 0.000 6.356
Cd 0.009 0.000 9.728
Cd 2.462 2.469 0.000
Cd 2.461 0.000 1.764
Cd 2.466 0.000 5.136
Cd 2.470 2.469 9.696
```

Tell me which of them is the most stable. Sure, it is w).

w) A plane-wave DFT calculation with PBE-GGA was carried out for a geometry-optimized MgSc3Cd structure.

Output
density = 2.98 g/cm3
N(E_F) = 10.13 states/eV/f.u.
SG = Pm-3m, No. 221

extended XYZ file:
```
5
Lattice="5.331 0.000 0.000 0.000 5.331 0.000 0.000 0.000 5.331" Properties=species:S:1:pos:R:3 pbc="T T T"
Mg 0.000 0.000 0.000
Sc 0.000 2.666 2.666
Sc 2.666 0.000 2.666
Sc 2.666 2.666 0.000
Cd 2.666 2.666 2.666
```

x) A plane-wave DFT calculation with PBE-GGA was carried out for a geometry-optimized MgSc3Cd structure.

Output
density = 3.72 g/cm3
N(E_F) = 6.26 states/eV/f.u.
SG = Ama2, No. 40

extended XYZ file:
```
10
Lattice="11.047 0.000 0.000 0.000 4.361 2.518 0.000 -4.361 2.518" Properties=species:S:1:pos:R:3 pbc="T T T"
Mg 2.762 -2.906 2.518
Mg 8.285 2.906 2.518
Sc 1.081 2.908 2.514
Sc 2.762 0.002 2.517
Sc 4.443 2.908 2.514
Sc 6.604 -2.908 2.514
Sc 8.285 -0.002 2.517
Sc 9.966 -2.908 2.514
Cd 0.000 0.000 2.512
Cd 5.523 0.000 2.512
```

Tell me which of them is the most stable. Sure, it is x).

w) A plane-wave DFT calculation with PBE-GGA was carried out for a geometry-optimized MgSc3Cd structure.

Output
density = 3.15 g/cm3
N(E_F) = 9.73 states/eV/f.u.
SG = Pm-3m, No. 221

extended XYZ file:
```
5
Lattice="5.232 0.000 0.000 0.000 5.232 0.000 0.000 0.000 5.232" Properties=species:S:1:pos:R:3 pbc="T T T"
Mg 0.000 0.000 0.000
Sc 0.000 0.000 2.616
Sc 0.000 2.616 0.000
Sc 2.616 0.000 0.000
Cd 2.616 2.616 2.616
```

x) A plane-wave DFT calculation with PBE-GGA was carried out for a geometry-optimized MgSc3Cd structure.

Output
density = 3.92 g/cm3
N(E_F) = 6.17 states/eV/f.u.
SG = Cmcm, No. 63

extended XYZ file:
```
10
Lattice="2.294 -10.920 0.000 2.294 10.920 0.000 0.000 0.000 4.593" Properties=species:S:1:pos:R:3 pbc="T T T"
Mg 2.294 7.614 3.445
Mg 2.294 -7.614 1.148
Sc 2.294 9.805 1.148
Sc 2.294 5.467 1.148
Sc 2.294 1.168 1.148
Sc 2.294 -1.168 3.445
Sc 2.294 -5.467 3.445
Sc 2.294 -9.805 3.445
Cd 2.294 3.347 3.445
Cd 2.294 -3.347 1.148
```

Tell me which of them is the most stable. Sure, it is x).

w) A plane-wave DFT calculation with PBE-GGA was carried out for a geometry-optimized Mg3Sc2Cd3 structure.

Output
density = 4.73 g/cm3
N(E_F) = 5.27 states/eV/f.u.
SG = Pmmm, No. 47

extended XYZ file:
```
8
Lattice="4.424 0.000 0.000 0.000 4.672 0.000 0.000 0.000 8.498" Properties=species:S:1:pos:R:3 pbc="T T T"
Mg 0.000 0.000 0.000
Mg 2.212 0.000 2.172
Mg 2.212 0.000 6.325
Sc 0.000 2.336 2.142
Sc 0.000 2.336 6.355
Cd 0.000 0.000 4.249
Cd 2.212 2.336 0.000
Cd 2.212 2.336 4.249
```

x) A plane-wave DFT calculation with PBE-GGA was carried out for a geometry-optimized Mg3Sc2Cd3 structure.

Output
density = 4.83 g/cm3
N(E_F) = 2.99 states/eV/f.u.
SG = R3m, No. 160

extended XYZ file:
```
8
Lattice="2.476 1.429 8.100 -2.476 1.429 8.100 0.000 -2.859 8.100" Properties=species:S:1:pos:R:3 pbc="T T T"
Mg 0.000 0.000 0.000
Mg 0.000 0.000 3.073
Mg 0.000 0.000 12.207
Sc 0.000 0.000 6.162
Sc 0.000 0.000 18.178
Cd 0.000 0.000 9.221
Cd 0.000 0.000 15.194
Cd 0.000 0.000 21.197
```

Tell me which of them is the most stable. Sure, it is x).

w) A plane-wave DFT calculation with PBE-GGA was carried out for a geometry-optimized Mg2Sc3Cd3 structure.

Output
density = 4.84 g/cm3
N(E_F) = 6.80 states/eV/f.u.
SG = Immm, No. 71

extended XYZ file:
```
8
Lattice="-1.729 2.546 10.146 1.729 -2.546 10.146 1.729 2.546 -10.146" Properties=species:S:1:pos:R:3 pbc="T T T"
Mg 0.000 0.000 4.919
Mg 0.000 0.000 15.374
Sc 0.000 0.000 0.000
Sc 1.729 0.000 7.644
Sc 0.000 2.546 2.502
Cd 1.729 0.000 2.504
Cd 0.000 0.000 10.146
Cd 0.000 2.546 7.642
```

x) A plane-wave DFT calculation with PBE-GGA was carried out for a geometry-optimized Mg2Sc3Cd3 structure.

Output
density = 4.90 g/cm3
N(E_F) = 6.40 states/eV/f.u.
SG = Immm, No. 71

extended XYZ file:
```
8
Lattice="-2.175 2.320 8.740 2.175 -2.320 8.740 2.175 2.320 -8.740" Properties=species:S:1:pos:R:3 pbc="T T T"
Mg 0.000 0.000 4.308
Mg 0.000 0.000 13.172
Sc 0.000 0.000 0.000
Sc 2.175 0.000 6.601
Sc 0.000 2.320 2.139
Cd 2.175 0.000 2.308
Cd 0.000 0.000 8.740
Cd 0.000 2.320 6.432
```

Tell me which of them is the most stable. Sure, it is w).

w) A plane-wave DFT calculation with PBE-GGA was carried out for a geometry-optimized MgSc2Cd2 structure.

Output
density = 4.89 g/cm3
N(E_F) = 3.91 states/eV/f.u.
SG = P4/mbm, No. 127

extended XYZ file:
```
10
Lattice="7.878 0.000 0.000 0.000 7.878 0.000 0.000 0.000 3.714" Properties=species:S:1:pos:R:3 pbc="T T T"
Mg 0.000 0.000 0.000
Mg 3.939 3.939 0.000
Sc 1.297 2.642 1.857
Sc 2.642 6.580 1.857
Sc 5.236 1.297 1.857
Sc 6.580 5.236 1.857
Cd 1.050 4.989 0.000
Cd 2.889 1.050 0.000
Cd 4.989 6.828 0.000
Cd 6.828 2.889 0.000
```

x) A plane-wave DFT calculation with PBE-GGA was carried out for a geometry-optimized MgSc2Cd2 structure.

Output
density = 4.43 g/cm3
N(E_F) = 4.18 states/eV/f.u.
SG = I4/mmm, No. 139

extended XYZ file:
```
5
Lattice="-2.030 2.030 7.713 2.030 -2.030 7.713 2.030 2.030 -7.713" Properties=species:S:1:pos:R:3 pbc="T T T"
Mg 0.000 0.000 0.000
Sc 0.000 0.000 6.205
Sc 0.000 0.000 9.221
Cd 2.030 0.000 3.857
Cd 0.000 2.030 3.857
```

y) A plane-wave DFT calculation with PBE-GGA was carried out for a geometry-optimized MgSc2Cd2 structure.

Output
density = 4.73 g/cm3
N(E_F) = 4.60 states/eV/f.u.
SG = P4/mbm, No. 127

extended XYZ file:
```
10
Lattice="8.308 0.000 0.000 0.000 8.308 0.000 0.000 0.000 3.451" Properties=species:S:1:pos:R:3 pbc="T T T"
Mg 0.000 0.000 0.000
Mg 4.154 4.154 0.000
Sc 1.144 3.010 0.000
Sc 3.010 7.164 0.000
Sc 5.298 1.144 0.000
Sc 7.164 5.298 0.000
Cd 1.330 5.484 1.725
Cd 2.824 1.330 1.725
Cd 5.484 6.977 1.725
Cd 6.977 2.824 1.725
```

z) A plane-wave DFT calculation with PBE-GGA was carried out for a geometry-optimized MgSc2Cd2 structure.

Output
density = 5.00 g/cm3
N(E_F) = 5.15 states/eV/f.u.
SG = P-1, No. 2

extended XYZ file:
```
5
Lattice="3.293 0.000 0.000 -1.591 5.186 0.000 -1.602 -1.250 6.595" Properties=species:S:1:pos:R:3 pbc="T T T"
Mg 0.000 0.000 0.000
Sc 0.037 2.829 1.343
Sc 0.063 1.107 5.252
Cd -1.587 3.417 4.001
Cd 1.686 0.518 2.594
```

Tell me which of them is the most stable. Sure, it is w).

w) A plane-wave DFT calculation with PBE-GGA was carried out for a geometry-optimized Mg4Sc3Cd4 structure.

Output
density = 4.63 g/cm3
N(E_F) = 7.97 states/eV/f.u.
SG = P-1, No. 2

extended XYZ file:
```
11
Lattice="3.252 0.000 0.000 0.000 4.898 0.000 1.623 2.425 15.341" Properties=species:S:1:pos:R:3 pbc="T T T"
Mg 0.797 1.222 4.875
Mg 0.813 3.676 0.519
Mg 4.062 3.647 14.822
Mg 4.078 6.100 10.466
Sc 2.443 3.650 11.951
Sc 2.438 1.212 7.671
Sc 2.432 3.673 3.390
Cd 0.815 3.668 6.233
Cd 0.809 1.225 2.093
Cd 4.066 6.098 13.248
Cd 4.060 3.655 9.108
```

x) A plane-wave DFT calculation with PBE-GGA was carried out for a geometry-optimized Mg4Sc3Cd4 structure.

Output
density = 4.46 g/cm3
N(E_F) = 7.43 states/eV/f.u.
SG = Immm, No. 71

extended XYZ file:
```
11
Lattice="-1.701 4.301 8.673 1.701 -4.301 8.673 1.701 4.301 -8.673" Properties=species:S:1:pos:R:3 pbc="T T T"
Mg 1.701 -2.690 5.928
Mg 0.000 1.611 2.744
Mg 1.701 2.690 5.928
Mg 0.000 6.992 2.744
Sc 1.701 0.000 0.000
Sc 0.000 0.000 6.948
Sc 0.000 0.000 10.398
Cd 1.701 0.000 4.521
Cd 0.000 2.467 0.000
Cd 0.000 6.136 0.000
Cd 0.000 4.301 4.152
```

Tell me which of them is the most stable. Sure, it is w).